# 1
Material: BaSm2CrN4
Method: DFT, PBE
State: relaxed

Space-group type   Cmcm (63)
Formation energy from raw total energies   -8.55 eV/f.u.

a = 6.481 Å, b = 6.481 Å, c = 11.989 Å
α = 90.00°, β = 90.00°, γ = 148.36°
Fractional coordinates of all 16 atoms:
Ba 0.085 0.915 0.750
Ba 0.915 0.085 0.250
Sm 0.370 0.630 0.542
Sm 0.370 0.630 0.958
Sm 0.630 0.370 0.042
Sm 0.630 0.370 0.458
Cr 0.182 0.818 0.250
Cr 0.818 0.182 0.750
N 0.000 0.000 0.000
N 0.000 0.000 0.500
N 0.257 0.743 0.124
N 0.257 0.743 0.376
N 0.392 0.608 0.750
N 0.608 0.392 0.250
N 0.743 0.257 0.624
N 0.743 0.257 0.876



# 2
Material: Tl2SeS
Method: DFT, PBE
State: relaxed

Space-group type   Fmmm (69)
E above lowest polymorph   0 meV per atom
Formation energy from raw total energies   -0.95 eV/f.u.

a = 8.098 Å, b = 6.751 Å, c = 6.699 Å
α = 74.03°, β = 53.28°, γ = 52.69°
Fractional coordinates of all 8 atoms:
Tl 0.245 0.755 0.755
Tl 0.250 0.250 0.250
Tl 0.750 0.750 0.750
Tl 0.755 0.245 0.245
Se 0.321 0.679 0.321
Se 0.679 0.321 0.679
S 0.169 0.169 0.831
S 0.831 0.831 0.169



# 3
Material: Cs2LaI6
Method: DFT, PBE
State: relaxed

Space-group type   C2/m (12)
Formation energy from raw total energies   -11.56 eV/f.u.

a = 10.161 Å, b = 10.161 Å, c = 5.801 Å
α = 101.87°, β = 101.87°, γ = 55.02°
Fractional coordinates of all 9 atoms:
Cs 0.166 0.166 0.149
Cs 0.834 0.834 0.851
La 0.500 0.500 0.500
I 0.136 0.574 0.367
I 0.301 0.699 0.000
I 0.426 0.864 0.633
I 0.574 0.136 0.367
I 0.699 0.301 0.000
I 0.864 0.426 0.633